Entry 1:
# PBE Y2Zr4Au3N3, optimized geometry
data_Y2Zr4Au3N3
_chemical_formula_sum 'Y8 Zr16 Au12 N12'
_cell_length_a 10.066
_cell_length_b 5.820
_cell_length_c 14.674
_cell_angle_alpha 90.00
_cell_angle_beta 103.32
_cell_angle_gamma 90.00
_space_group_name_H-M_alt 'C 1 2/c 1'
_space_group_IT_number 15
loop_
_space_group_symop_operation_xyz
'x,y,z'
'-x,-y,-z'
'-x,y,-z+1/2'
'x,-y,z+1/2'
'x+1/2,y+1/2,z'
'-x+1/2,-y+1/2,-z'
'-x+1/2,y+1/2,-z+1/2'
'x+1/2,-y+1/2,z+1/2'
loop_
_atom_site_label
_atom_site_type_symbol
_atom_site_fract_x
_atom_site_fract_y
_atom_site_fract_z
Y1 Y 0.044 0.082 0.388
Zr1 Zr 0.110 0.409 0.581
Zr2 Zr 0.227 0.419 0.919
Au1 Au 0.000 0.471 0.750
Au2 Au 0.222 0.137 0.751
N1 N 0.084 0.251 0.000
N2 N 0.250 0.250 0.500
# Crystal system ... monoclinic
# DFT total energy ... -7.94 eV/atom

Entry 2:
# PBE Zr2AuN, optimized geometry
data_Zr2AuN
_chemical_formula_sum 'Zr24 Au12 N12'
_cell_length_a 9.926
_cell_length_b 5.729
_cell_length_c 14.473
_cell_angle_alpha 90.00
_cell_angle_beta 103.30
_cell_angle_gamma 90.00
_space_group_name_H-M_alt 'C 1 2/c 1'
_space_group_IT_number 15
loop_
_space_group_symop_operation_xyz
'x,y,z'
'-x,-y,-z'
'-x,y,-z+1/2'
'x,-y,z+1/2'
'x+1/2,y+1/2,z'
'-x+1/2,-y+1/2,-z'
'-x+1/2,y+1/2,-z+1/2'
'x+1/2,-y+1/2,z+1/2'
loop_
_atom_site_label
_atom_site_type_symbol
_atom_site_fract_x
_atom_site_fract_y
_atom_site_fract_z
Zr1 Zr 0.053 0.083 0.411
Zr2 Zr 0.113 0.416 0.589
Zr3 Zr 0.220 0.417 0.911
Au1 Au 0.000 0.418 0.250
Au2 Au 0.167 0.084 0.750
N1 N 0.083 0.250 0.000
N2 N 0.250 0.250 0.500
# Crystal system ... monoclinic
# DFT total energy ... -8.23 eV/atom

Entry 3:
# PBE Zr3AuN, optimized geometry
data_Zr3AuN
_chemical_formula_sum 'Zr3 Au1 N1'
_cell_length_a 4.468
_cell_length_b 4.468
_cell_length_c 4.468
_cell_angle_alpha 90.00
_cell_angle_beta 90.00
_cell_angle_gamma 90.00
_space_group_name_H-M_alt 'P m -3 m'
_space_group_IT_number 221
_space_group_name_Hall '-P 4 2 3'
loop_
_atom_site_label
_atom_site_type_symbol
_atom_site_fract_x
_atom_site_fract_y
_atom_site_fract_z
Zr1 Zr 0.000 0.000 0.500
Au1 Au 0.500 0.500 0.500
N1 N 0.000 0.000 0.000
# Crystal system ... cubic
# DFT total energy ... -8.40 eV/atom

Entry 4:
# PBE Zr2AuN, optimized geometry
data_Zr2AuN
_chemical_formula_sum 'Zr4 Au2 N2'
_cell_length_a 3.3061
_cell_length_b 3.3061
_cell_length_c 14.0856
_cell_angle_alpha 90.00
_cell_angle_beta 90.00
_cell_angle_gamma 120.00
_space_group_name_H-M_alt 'P 63/m m c'
_space_group_IT_number 194
_space_group_name_Hall '-P 6c 2c'
loop_
_atom_site_label
_atom_site_type_symbol
_atom_site_fract_x
_atom_site_fract_y
_atom_site_fract_z
Zr1 Zr 0.3333 0.6667 0.0892
Au1 Au 0.3333 0.6667 0.7500
N1 N 0.0000 0.0000 0.0000
# Crystal system ... hexagonal
# DFT total energy ... -8.23 eV/atom

What is the formula in the third record?
Zr3AuN

Among the records above, which one has the lowest DFT total energy?
Zr3AuN

What is the DFT total energy in the third record?
-8.40 eV/atom

Number 4 is which compound?
Zr2AuN